1.
The following is a DFT calculation (PBE) of a relaxed Nd4Hg5Au crystal.

a = 8.368 Å, b = 8.368 Å, c = 6.697 Å
α = 105.43°, β = 105.43°, γ = 36.73°
Fractional coordinates of all 10 atoms:
Nd 0.090 0.090 0.363
Nd 0.318 0.318 0.195
Nd 0.682 0.682 0.805
Nd 0.910 0.910 0.637
Hg 0.108 0.108 0.911
Hg 0.288 0.288 0.681
Hg 0.500 0.500 0.000
Hg 0.712 0.712 0.319
Hg 0.892 0.892 0.089
Au 0.500 0.500 0.500

Properties
- formation enthalpy at 0 K (eV/atom) = -0.49
- crystal system = monoclinic
- DOS(E_F) (states/eV/cell) = 7.298
- total magnetization (Bohr magnetons per cell) = 0.0
- calculated volume (Å³/cell) = 269.2


2.
The following is a DFT calculation (PBE) of a relaxed TlZnCu2I6 crystal.

a = 10.448 Å, b = 10.448 Å, c = 8.624 Å
α = 109.42°, β = 109.42°, γ = 85.43°
Fractional coordinates of all 20 atoms:
Tl 0.152 0.848 0.750
Tl 0.848 0.152 0.250
Zn 0.181 0.819 0.250
Zn 0.819 0.181 0.750
Cu 0.249 0.365 0.850
Cu 0.365 0.249 0.350
Cu 0.635 0.751 0.650
Cu 0.751 0.635 0.150
I 0.057 0.178 0.681
I 0.141 0.618 0.960
I 0.178 0.057 0.181
I 0.316 0.418 0.614
I 0.382 0.859 0.540
I 0.418 0.316 0.114
I 0.582 0.684 0.886
I 0.618 0.141 0.460
I 0.684 0.582 0.386
I 0.822 0.943 0.819
I 0.859 0.382 0.040
I 0.943 0.822 0.319

Properties
- uncorrected formation energy (eV per atom) = -0.32
- crystal system = monoclinic
- DOS(E_F) (states/eV/cell) = 18.535
- total magnetization (Bohr magnetons per cell) = 0.0
- calculated volume (Å³/cell) = 836.8


3.
The following is a DFT calculation (PBE) of a relaxed SrY2Ru crystal.

a = 4.113 Å, b = 4.113 Å, c = 9.652 Å
α = 102.37°, β = 102.37°, γ = 60.00°
Fractional coordinates of all 4 atoms:
Sr 0.000 0.000 0.000
Y 0.217 0.217 0.649
Y 0.783 0.783 0.351
Ru 0.500 0.500 0.500

Properties
- formation enthalpy at 0 K (eV/atom) = -0.07
- crystal system = monoclinic
- DOS(E_F) (states/eV/cell) = 2.349
- total magnetization (Bohr magnetons per cell) = 0.0
- calculated volume (Å³/cell) = 137.0


4.
The following is a DFT calculation (PBE) of a relaxed ErSc2Ni crystal.

a = 9.167 Å, b = 9.167 Å, c = 9.167 Å
α = 21.82°, β = 21.82°, γ = 21.82°
Fractional coordinates of all 4 atoms:
Er 0.000 0.000 0.000
Sc 0.226 0.226 0.226
Sc 0.774 0.774 0.774
Ni 0.500 0.500 0.500

Properties
- formation enthalpy at 0 K (eV/atom) = -0.06
- crystal system = trigonal
- DOS(E_F) (states/eV/cell) = 6.783
- total magnetization (Bohr magnetons per cell) = 0.0
- calculated volume (Å³/cell) = 93.3


5.
The following is a DFT calculation (PBE) of a relaxed RbIn2I8 crystal.

a = 9.084 Å, b = 9.084 Å, c = 8.723 Å
α = 100.79°, β = 100.79°, γ = 93.14°
Fractional coordinates of all 11 atoms:
Rb 0.000 0.000 0.000
In 0.240 0.240 0.677
In 0.760 0.760 0.323
I 0.018 0.678 0.225
I 0.245 0.245 0.364
I 0.322 0.982 0.775
I 0.476 0.476 0.806
I 0.524 0.524 0.194
I 0.678 0.018 0.225
I 0.755 0.755 0.636
I 0.982 0.322 0.775

Properties
- uncorrected formation energy (eV per atom) = -0.59
- crystal system = monoclinic
- DOS(E_F) (states/eV/cell) = 0.094
- total magnetization (Bohr magnetons per cell) = 1.0
- calculated volume (Å³/cell) = 691.6


6.
The following is a DFT calculation (PBE) of a relaxed SrCaTlO3 crystal.

a = 6.703 Å, b = 3.384 Å, c = 9.926 Å
α = 90.00°, β = 92.14°, γ = 90.00°
Fractional coordinates of all 12 atoms:
Sr 0.167 0.250 0.224
Sr 0.833 0.750 0.776
Ca 0.355 0.750 0.890
Ca 0.645 0.250 0.110
Tl 0.208 0.250 0.585
Tl 0.792 0.750 0.415
O 0.126 0.250 0.817
O 0.164 0.750 0.429
O 0.392 0.750 0.119
O 0.608 0.250 0.881
O 0.836 0.250 0.571
O 0.874 0.750 0.183

Properties
- uncorrected formation energy (eV per atom) = -1.97
- crystal system = monoclinic
- DOS(E_F) (states/eV/cell) = 4.010
- total magnetization (Bohr magnetons per cell) = 0.0
- calculated volume (Å³/cell) = 225.0